The following is a GGA-PBE calculation of a relaxed structure of Lu4Ge3W2C3, from the Open Quantum Materials Database. Values from VASP.

Calculated values
raw total energy	-183.65	eV per cell

The structure in Quantum ESPRESSO input format:
```
&SYSTEM
  ibrav = 0, nat = 24, ntyp = 4
/
ATOMIC_SPECIES
Lu 174.97 Lu.upf
Ge 72.64 Ge.upf
W 183.84 W.upf
C 12.01 C.upf
ATOMIC_POSITIONS crystal
Lu 0.043 0.190 0.101
Lu 0.123 0.300 0.399
Lu 0.190 0.043 0.601
Lu 0.300 0.123 0.899
Lu 0.700 0.877 0.101
Lu 0.810 0.957 0.399
Lu 0.877 0.700 0.601
Lu 0.957 0.810 0.899
Ge 0.160 0.840 0.250
Ge 0.315 0.416 0.752
Ge 0.416 0.315 0.252
Ge 0.584 0.685 0.748
Ge 0.685 0.584 0.248
Ge 0.840 0.160 0.750
W 0.346 0.524 0.076
W 0.476 0.654 0.424
W 0.524 0.346 0.576
W 0.654 0.476 0.924
C 0.000 0.500 0.000
C 0.190 0.655 0.500
C 0.345 0.810 0.000
C 0.500 0.000 0.500
C 0.655 0.190 0.000
C 0.810 0.345 0.500
CELL_PARAMETERS angstrom
4.999 -2.916 0.000
4.999 2.916 0.000
-3.320 0.000 13.455
```